Below is a crystal of BaZn2Cd relaxed with PBEsol, with properties calculated at the meta-GGA SCAN level.

The symmetry is No. 10. The electronic total energy is -24.2961 eV/atom. For the formation energy, the calculation gives -47 meV/atom. The calculation puts the density of states at the Fermi level at 2.3 states/eV/f.u.

POSCAR file:
```
BaZn2Cd
1.0
-1.7349 -2.1021 2.3859
-0.8246 -3.0532 -3.2897
5.9468 -2.1790 0.5317
Ba Zn Cd
1 2 1
Direct
0.5000 0.5000 0.0000
0.1950 0.0000 0.3351
0.8050 0.0000 0.6649
0.0000 0.5000 0.5000
```